[1]
Density functional theory data (PBEsol) for an optimized crystal structure of LiMn2F6.

The structure in POSCAR format:
```
LiMn2F6
1.0
8.821 0.000 0.000
-4.411 7.640 0.000
0.000 0.000 5.383
Li Mn F
3 6 18
Cartesian
0.000 0.000 0.000 Li
0.000 5.093 3.021 Li
4.411 2.547 2.362 Li
-1.328 2.300 2.691 Mn
-1.628 2.819 0.000 Mn
2.656 0.000 2.691 Mn
3.255 0.000 0.000 Mn
2.783 4.821 0.000 Mn
3.083 5.340 2.691 Mn
-0.275 1.590 1.294 F
-1.215 3.939 1.665 F
-2.896 7.083 1.294 F
-0.257 3.478 4.124 F
1.515 0.557 4.089 F
-1.270 6.124 4.124 F
-0.392 6.723 1.665 F
3.140 1.516 1.258 F
1.607 4.618 1.665 F
4.019 0.917 3.718 F
1.528 5.678 4.124 F
3.195 3.701 3.718 F
4.153 4.162 1.258 F
3.171 6.606 1.294 F
5.938 1.962 1.258 F
4.136 6.049 4.089 F
6.018 3.022 3.718 F
7.582 1.033 4.089 F
```

Results
* energy above the most stable polymorph in this dataset: 88 meV per atom
* V: 121 Å³/f.u.
* space group: No. 150
* crystal system: trigonal

---

[2]
Density functional theory data (PBEsol) for an optimized crystal structure of AlTcMoO2.

The structure in POSCAR format:
```
AlTcMoO2
1.0
3.517 0.000 0.000
0.000 3.517 0.000
0.000 0.000 5.338
Al Tc Mo O
1 1 1 2
Cartesian
0.000 0.000 0.000 Al
0.000 0.000 2.669 Tc
1.758 1.758 2.669 Mo
0.000 1.758 0.000 O
1.758 0.000 0.000 O
```

Results
* V: 66 Å³/f.u.
* space group: No. 123
* crystal system: tetragonal
* raw total energy: -38.2 eV/cell

---

[3]
Density functional theory data (PBEsol) for an optimized crystal structure of Ni2HgH2.

The structure in POSCAR format:
```
Ni2HgH2
1.0
3.011 0.000 0.000
0.000 3.011 0.000
0.000 0.000 10.083
Ni Hg H
4 2 4
Cartesian
0.000 0.000 1.737 Ni
0.000 0.000 8.347 Ni
1.506 1.506 3.305 Ni
1.506 1.506 6.778 Ni
0.000 0.000 5.042 Hg
1.506 1.506 0.000 Hg
0.000 1.506 2.521 H
0.000 1.506 7.563 H
1.506 0.000 2.521 H
1.506 0.000 7.563 H
```

Results
* V: 46 Å³/f.u.
* space group: No. 139
* crystal system: tetragonal
* raw total energy: -39.2 eV/cell

---

[4]
Density functional theory data (PBEsol) for an optimized crystal structure of Li3HPt.

The structure in POSCAR format:
```
Li3HPt
1.0
3.798 0.000 0.000
0.000 3.798 0.000
0.000 0.000 3.798
Li H Pt
3 1 1
Cartesian
0.000 0.000 1.899 Li
0.000 1.899 0.000 Li
1.899 0.000 0.000 Li
0.000 0.000 0.000 H
1.899 1.899 1.899 Pt
```

Results
* V: 55 Å³/f.u.
* space group: No. 221
* crystal system: cubic
* raw total energy: -17.9 eV/cell